Entry 1:
Zr2SbAsIr2 | PBE-GGA | optimized geometry

a = 10.858 Å, b = 4.433 Å, c = 10.858 Å
α = 90.00°, β = 109.47°, γ = 90.00°
Space group Pm (No. 6)
Unique sites:
Zr (0.000, 0.000, 0.000) [1 per cell]
Zr (0.119, 0.500, 0.373) [1 per cell]
Zr (0.243, 0.000, 0.746) [1 per cell]
Zr (0.375, 0.500, 0.122) [1 per cell]
Zr (0.504, 0.000, 0.495) [1 per cell]
Zr (0.630, 0.500, 0.878) [1 per cell]
Zr (0.753, 0.000, 0.251) [1 per cell]
Zr (0.876, 0.500, 0.621) [1 per cell]
Sb (0.249, 0.000, 0.249) [1 per cell]
Sb (0.375, 0.500, 0.623) [1 per cell]
Sb (0.500, 0.000, 0.999) [1 per cell]
Sb (0.751, 0.000, 0.748) [1 per cell]
As (0.123, 0.500, 0.873) [1 per cell]
As (0.626, 0.500, 0.372) [1 per cell]
As (0.875, 0.500, 0.124) [1 per cell]
As (0.998, 0.000, 0.498) [1 per cell]
Ir (0.120, 0.500, 0.622) [1 per cell]
Ir (0.246, 0.000, 0.995) [1 per cell]
Ir (0.378, 0.500, 0.372) [1 per cell]
Ir (0.500, 0.000, 0.749) [1 per cell]
Ir (0.629, 0.500, 0.128) [1 per cell]
Ir (0.752, 0.000, 0.496) [1 per cell]
Ir (0.879, 0.500, 0.876) [1 per cell]
Ir (0.997, 0.000, 0.249) [1 per cell]

As for the crystal system: monoclinic.

Entry 2:
LaNd2Mg3CdIn2 | PBE-GGA | optimized geometry

a = 4.786 Å, b = 13.442 Å, c = 7.713 Å
α = 90.00°, β = 90.00°, γ = 90.00°
Space group Amm2 (No. 38)
Unique sites:
La (0.000, 0.000, 0.000) [2 per cell]
Nd (0.000, 0.211, 0.633) [4 per cell]
Mg (0.500, 0.000, 0.662) [2 per cell]
Mg (0.500, 0.120, 0.304) [4 per cell]
Cd (0.000, 0.000, 0.426) [2 per cell]
In (0.500, 0.169, 0.922) [4 per cell]

As for the crystal system: orthorhombic.

Entry 3:
NdYAg | PBE-GGA | optimized geometry

a = 7.053 Å, b = 7.053 Å, c = 7.053 Å
α = 90.00°, β = 90.00°, γ = 90.00°
Space group F-43m (No. 216)
Unique sites:
Nd (0.000, 0.000, 0.000) [4 per cell]
Y (0.250, 0.250, 0.750) [4 per cell]
Ag (0.000, 0.000, 0.500) [4 per cell]

For the polymorph energy (0 for the lowest one), the calculation gives 0.000 eV/atom. The calculation puts the formation energy at 1.5 eV per formula unit. As for the crystal system: cubic.

Entry 4:
ZrInTc2 | PBE-GGA | optimized geometry

a = 6.573 Å, b = 6.573 Å, c = 6.573 Å
α = 90.00°, β = 90.00°, γ = 90.00°
Space group F-43m (No. 216)
Unique sites:
Zr (0.000, 0.000, 0.000) [4 per cell]
In (0.250, 0.250, 0.750) [4 per cell]
Tc (0.000, 0.000, 0.500) [4 per cell]
Tc (0.250, 0.250, 0.250) [4 per cell]

As for the crystal system: cubic.

Entry 5:
Zr8Sb2C3N3 | PBE-GGA | optimized geometry

a = 3.3559 Å, b = 3.3559 Å, c = 24.8137 Å
α = 90.00°, β = 90.00°, γ = 120.00°
Space group P-3m1 (No. 164)
Unique sites:
Zr (0.0000, 0.0000, 0.1549) [2 per cell]
Zr (0.0000, 0.0000, 0.3412) [2 per cell]
Zr (0.3333, 0.6667, 0.5531) [2 per cell]
Zr (0.3333, 0.6667, 0.9458) [2 per cell]
Sb (0.3333, 0.6667, 0.7522) [2 per cell]
C (0.0000, 0.0000, 0.5000) [1 per cell]
C (0.3333, 0.6667, 0.3890) [2 per cell]
N (0.0000, 0.0000, 0.0000) [1 per cell]
N (0.3333, 0.6667, 0.1049) [2 per cell]

As for the crystal system: trigonal.

Entry 6:
KGdTc | PBE-GGA | optimized geometry

a = 7.083 Å, b = 7.083 Å, c = 7.083 Å
α = 90.00°, β = 90.00°, γ = 90.00°
Space group F-43m (No. 216)
Unique sites:
K (0.000, 0.000, 0.000) [4 per cell]
Gd (0.250, 0.250, 0.750) [4 per cell]
Tc (0.250, 0.250, 0.250) [4 per cell]

As for the crystal system: cubic.

Uncorrected energy values (in Ha/atom) by entry order: -0.301, -0.118, -0.154, -0.287, -0.337, -0.128.
Total magnetic moment values (in μB/atom) by entry order: 0.00, 0.00, 0.00, 0.00, 0.00, 0.75.